# PmSmSn, optimized geometry, DFT GGA-PBE
# energy of formation: -4.84 kcal/mol of atoms
# crystal system: tetragonal
# total DFT energy (no corrections): -4.701 eV per atom
# energy above the lowest structure with this stoichiometry: 372.2 meV/atom
data_PmSmSn
_symmetry_space_group_name_H-M 'P 1'
_symmetry_Int_Tables_number 1
_cell_length_a 4.370
_cell_length_b 4.370
_cell_length_c 10.314
_cell_angle_alpha 90.00
_cell_angle_beta 90.00
_cell_angle_gamma 90.00
loop_
_symmetry_equiv_pos_as_xyz
'x,y,z'
loop_
_atom_site_label
_atom_site_fract_x
_atom_site_fract_y
_atom_site_fract_z
_atom_site_occupancy
Pm1 0.000 0.500 0.904 1
Pm2 0.500 0.000 0.096 1
Sn1 0.000 0.500 0.606 1
Sn2 0.500 0.000 0.394 1
Sm1 0.500 0.000 0.697 1
Sm2 0.000 0.500 0.303 1

---

# Pu5Se5O, optimized geometry, DFT GGA-PBE
# crystal system: monoclinic
# total DFT energy (no corrections): -10.163 eV per atom
# E_form (uncorrected): -1.6136 eV per atom
data_Pu5Se5O
_symmetry_space_group_name_H-M 'P 1'
_symmetry_Int_Tables_number 1
_cell_length_a 5.726
_cell_length_b 7.036
_cell_length_c 7.970
_cell_angle_alpha 107.29
_cell_angle_beta 90.00
_cell_angle_gamma 114.01
loop_
_symmetry_equiv_pos_as_xyz
'x,y,z'
loop_
_atom_site_label
_atom_site_fract_x
_atom_site_fract_y
_atom_site_fract_z
_atom_site_occupancy
Se1 0.336 0.673 0.173 1
Se2 0.683 0.367 0.332 1
Se3 0.317 0.633 0.668 1
Se4 0.000 0.000 0.500 1
Se5 0.664 0.327 0.827 1
Pu1 0.853 0.705 0.152 1
Pu2 0.848 0.696 0.692 1
Pu3 0.500 0.000 0.000 1
Pu4 0.152 0.304 0.308 1
Pu5 0.147 0.295 0.848 1
O1 0.000 0.000 0.000 1

---

# K2ZnSi, optimized geometry, DFT GGA-PBE
# crystal system: orthorhombic
# total DFT energy (no corrections): -2.199 eV per atom
# E_form (uncorrected): 0.0238 eV per atom
data_K2ZnSi
_symmetry_space_group_name_H-M 'P 1'
_symmetry_Int_Tables_number 1
_cell_length_a 6.182
_cell_length_b 6.182
_cell_length_c 6.182
_cell_angle_alpha 138.42
_cell_angle_beta 122.10
_cell_angle_gamma 73.77
loop_
_symmetry_equiv_pos_as_xyz
'x,y,z'
loop_
_atom_site_label
_atom_site_fract_x
_atom_site_fract_y
_atom_site_fract_z
_atom_site_occupancy
K1 0.712 0.212 0.500 1
K2 0.031 0.031 0.000 1
Si1 0.418 0.418 0.000 1
Zn1 0.339 0.839 0.500 1

---

# PrZrAu2, optimized geometry, DFT GGA-PBE
# energy of formation: -13.23 kcal/mol of atoms
# crystal system: tetragonal
# total DFT energy (no corrections): -5.544 eV per atom
# energy above the lowest structure with this stoichiometry: 0.0 meV/atom
data_PrZrAu2
_symmetry_space_group_name_H-M 'P 1'
_symmetry_Int_Tables_number 1
_cell_length_a 3.518
_cell_length_b 3.518
_cell_length_c 7.443
_cell_angle_alpha 90.00
_cell_angle_beta 90.00
_cell_angle_gamma 90.00
loop_
_symmetry_equiv_pos_as_xyz
'x,y,z'
loop_
_atom_site_label
_atom_site_fract_x
_atom_site_fract_y
_atom_site_fract_z
_atom_site_occupancy
Au1 0.000 0.000 0.789 1
Au2 0.000 0.000 0.211 1
Zr1 0.500 0.500 0.000 1
Pr1 0.500 0.500 0.500 1

---

# CdSiGeH2, optimized geometry, DFT GGA-PBE
# crystal system: tetragonal
# total DFT energy (no corrections): -3.154 eV per atom
data_CdSiGeH2
_symmetry_space_group_name_H-M 'P 1'
_symmetry_Int_Tables_number 1
_cell_length_a 3.754
_cell_length_b 5.151
_cell_length_c 3.754
_cell_angle_alpha 90.00
_cell_angle_beta 90.00
_cell_angle_gamma 90.00
loop_
_symmetry_equiv_pos_as_xyz
'x,y,z'
loop_
_atom_site_label
_atom_site_fract_x
_atom_site_fract_y
_atom_site_fract_z
_atom_site_occupancy
Cd1 0.500 0.500 0.500 1
H1 0.000 0.000 0.500 1
H2 0.500 0.000 0.000 1
Ge1 0.000 0.500 0.000 1
Si1 0.000 0.000 0.000 1

---

# Re5Ru, optimized geometry, DFT GGA-PBE
# energy of formation: -0.70 kcal/mol of atoms
# crystal system: orthorhombic
# total DFT energy (no corrections): -11.950 eV per atom
# energy above the lowest structure with this stoichiometry: 6.7 meV/atom
data_Re5Ru
_symmetry_space_group_name_H-M 'P 1'
_symmetry_Int_Tables_number 1
_cell_length_a 2.770
_cell_length_b 7.344
_cell_length_c 4.440
_cell_angle_alpha 90.00
_cell_angle_beta 90.00
_cell_angle_gamma 79.13
loop_
_symmetry_equiv_pos_as_xyz
'x,y,z'
loop_
_atom_site_label
_atom_site_fract_x
_atom_site_fract_y
_atom_site_fract_z
_atom_site_occupancy
Re1 0.555 0.891 0.500 1
Re2 0.224 0.552 0.500 1
Re3 0.666 0.667 0.000 1
Re4 0.000 0.000 0.000 1
Re5 0.334 0.332 0.000 1
Ru1 0.888 0.225 0.500 1